# RePdS2N

An optimized crystal structure of RePdS2N (PBE-GGA, the Alexandria database).

Results
total DFT energy (no corrections): -5.27 eV per atom
space group: No. 123
uncorrected formation energy: 757.3 kJ/mol of formula units
spin magnetization: 0.68 μB per atom
V: 17.2 Å³/atom
energy relative to the lowest polymorph listed for this composition: 1104 meV per atom

a b c (Å): 4.862 4.862 3.645
angles (deg): 90.00 90.00 90.00
Fractional positions:
Re 0.500 0.500 0.500
S 0.000 0.500 0.000
S 0.500 0.000 0.000
Pd 0.000 0.000 0.000
N 0.000 0.000 0.500